(1)
This record from the Alexandria database describes a relaxed structure of VGe3P. The functional is GGA-PBE.

Results
The polymorph energy (0 for the lowest one) is 17.75 kJ per mole of atoms. Its crystal system is cubic. For the energy of formation from the pure elements, the calculation gives 870 meV/atom. Its symmetry is Pm-3m.

abc: 4.7248 4.7248 4.7248
angles: 90.00 90.00 90.00
Site moments in Bohr magnetons follow the coordinates.
Atoms (fractional coordinates):
Ge 0.0000 0.0000 0.5000  -0.03
Ge 0.5000 0.0000 0.0000  -0.03
Ge 0.0000 0.5000 0.0000  -0.03
P 0.0000 0.0000 0.0000  0.01
V 0.5000 0.5000 0.5000  2.77

(2)
This record from the Alexandria database describes a relaxed structure of TcTeSe2. The functional is GGA-PBE.

Results
For the energy relative to the elements, uncorrected, the calculation gives 0.314 eV/atom. Its crystal system is orthorhombic. Its symmetry is Cmmm.

abc: 3.0299 3.0299 11.2191
angles: 90.00 90.00 116.93
Site moments in Bohr magnetons follow the coordinates.
Atoms (fractional coordinates):
Tc 0.5000 0.5000 0.2500  0.41
Se 0.0000 0.0000 0.0721  0.01
Se 0.0000 0.0000 0.4279  0.01
Te 0.5000 0.5000 0.7500  0.00

(3)
This record from the Alexandria database describes a relaxed structure of Si2OsCl. The functional is GGA-PBE.

Results
For the energy relative to the elements, uncorrected, the calculation gives 0.350 eV/atom. The polymorph energy (0 for the lowest one) is 42.24 kJ per mole of atoms. Its crystal system is monoclinic. Its symmetry is C2/m.

abc: 6.6985 5.0092 2.7967
angles: 73.17 90.89 132.30
Atoms (fractional coordinates):
Si 0.5000 0.0000 0.5000
Si 0.0000 0.0000 0.0000
Cl 0.0000 0.5000 0.5000
Os 0.5000 0.5000 0.0000

(4)
This record from the Alexandria database describes a relaxed structure of FeGe4Ru2. The functional is GGA-PBE.

Results
Its crystal system is monoclinic. For the energy of formation from the pure elements, the calculation gives -102 meV/atom. Its symmetry is C2/m.

abc: 3.2020 5.6455 6.8513
angles: 113.24 103.51 90.00
Site moments in Bohr magnetons follow the coordinates.
Atoms (fractional coordinates):
Ru 0.7508 0.7468 0.5016  0.03
Ru 0.2492 0.2532 0.4984  0.03
Ge 0.3919 0.6973 0.7838  -0.02
Ge 0.6081 0.3027 0.2162  -0.02
Ge 0.1134 0.7758 0.2267  -0.01
Ge 0.8866 0.2242 0.7733  -0.01
Fe 0.0000 0.0000 0.0000  0.93

(5)
This record from the Alexandria database describes a relaxed structure of CaScF5. The functional is GGA-PBE.

Results
For the energy relative to the elements, uncorrected, the calculation gives -3.929 eV/atom. The polymorph energy (0 for the lowest one) is 1.38 kJ per mole of atoms. Its crystal system is orthorhombic. Its symmetry is Immm.

abc: 4.0223 5.7737 5.7737
angles: 72.51 69.62 69.62
Atoms (fractional coordinates):
F 0.7617 0.2383 0.2383
F 0.0000 0.3016 0.6984
F 0.0000 0.6984 0.3016
F 0.5000 0.0000 0.0000
F 0.2383 0.7617 0.7617
Ca 0.5000 0.5000 0.5000
Sc 0.0000 0.0000 0.0000

(6)
This record from the Alexandria database describes a relaxed structure of ErBi2PdO6. The functional is GGA-PBE.

Results
For the energy relative to the elements, uncorrected, the calculation gives -1.509 eV/atom. Its crystal system is triclinic. Its symmetry is P1.

abc: 6.0322 5.6966 6.1002
angles: 61.61 58.75 61.09
Site moments in Bohr magnetons follow the coordinates.
Atoms (fractional coordinates):
O 0.1666 0.9812 0.2360  0.03
O 0.6202 0.1642 0.2681  0.11
O 0.6471 0.1322 0.7585  0.02
O 0.1153 0.4643 0.7441  0.15
O 0.4547 0.6624 0.7908  0.02
O 0.9694 0.5896 0.2604  0.03
Bi 0.0309 0.0242 0.9279  0.00
Bi 0.5319 0.5170 0.4129  0.00
Er 0.8125 0.8022 0.5748  0.05
Pd 0.3132 0.3242 0.0418  0.57

(7)
This record from the Alexandria database describes a relaxed structure of La2Zn3AgSn4. The functional is GGA-PBE.

Results
Its crystal system is tetragonal. For the energy of formation from the pure elements, the calculation gives -403 meV/atom. Its symmetry is P-4m2.

abc: 4.6765 4.6765 11.0880
angles: 90.00 90.00 90.00
Atoms (fractional coordinates):
Sn 0.5000 0.5000 0.0000
Sn 0.0000 0.5000 0.3643
Sn 0.5000 0.0000 0.6357
Sn 0.0000 0.0000 0.0000
La 0.0000 0.5000 0.7474
La 0.5000 0.0000 0.2526
Zn 0.0000 0.5000 0.1326
Zn 0.0000 0.0000 0.5000
Zn 0.5000 0.0000 0.8674
Ag 0.5000 0.5000 0.5000

(8)
This record from the Alexandria database describes a relaxed structure of ReNiCl2. The functional is GGA-PBE.

Results
For the energy relative to the elements, uncorrected, the calculation gives 0.766 eV/atom. The polymorph energy (0 for the lowest one) is 67.05 kJ per mole of atoms. Its crystal system is monoclinic. Its symmetry is C2/m.

abc: 5.6425 5.6425 2.8272
angles: 59.75 59.75 88.28
Atoms (fractional coordinates):
Ni 0.5000 0.0000 0.5000
Re 0.0000 0.5000 0.5000
Cl 0.0000 0.0000 0.0000
Cl 0.5000 0.5000 0.0000

(9)
This record from the Alexandria database describes a relaxed structure of TiHPd2Ru. The functional is GGA-PBE.

Results
The polymorph energy (0 for the lowest one) is 7.03 kJ per mole of atoms. Its crystal system is tetragonal. Its symmetry is P4/mmm.

abc: 3.8380 3.8380 4.1975
angles: 90.00 90.00 90.00
Atoms (fractional coordinates):
Ru 0.5000 0.5000 0.5000
Pd 0.5000 0.0000 0.0000
Pd 0.0000 0.5000 0.0000
Ti 0.0000 0.0000 0.5000
H 0.0000 0.0000 0.0000

(10)
This record from the Alexandria database describes a relaxed structure of CeTl3Bi3Se8. The functional is GGA-PBE.

Results
For the energy relative to the elements, uncorrected, the calculation gives -0.690 eV/atom. Its crystal system is monoclinic. Its symmetry is C2/m.

abc: 8.5328 8.5327 9.1687
angles: 117.73 90.00 120.00
Atoms (fractional coordinates):
Se 0.2325 0.4650 0.7097
Se 0.2614 0.5228 0.2837
Se 0.2325 0.9774 0.7088
Se 0.7386 0.4772 0.7163
Se 0.7449 0.9774 0.7088
Se 0.7675 0.0226 0.2912
Se 0.2551 0.0226 0.2912
Se 0.7675 0.5350 0.2903
Bi 0.5000 0.0000 0.5000
Bi 0.0000 0.5000 0.5000
Bi 0.5000 0.5000 0.5000
Tl 0.0000 0.0000 0.0000
Tl 0.0000 0.5000 0.0000
Tl 0.5000 0.5000 0.0000
Ce 0.0000 0.0000 0.5000

(11)
This record from the Alexandria database describes a relaxed structure of HoTmScCd. The functional is GGA-PBE.

Results
The polymorph energy (0 for the lowest one) is 0.00 kJ per mole of atoms. Its crystal system is tetragonal. For the energy of formation from the pure elements, the calculation gives -133 meV/atom. Its symmetry is P4mm.

abc: 3.5198 3.5198 8.6331
angles: 90.00 90.00 90.00
Atoms (fractional coordinates):
Sc 0.0000 0.0000 0.0728
Ho 0.5000 0.5000 0.8134
Tm 0.5000 0.5000 0.3296
Cd 0.0000 0.0000 0.5689

(12)
This record from the Alexandria database describes a relaxed structure of CePdRhAu. The functional is GGA-PBE.

Results
The polymorph energy (0 for the lowest one) is 13.78 kJ per mole of atoms. Its crystal system is cubic. For the energy of formation from the pure elements, the calculation gives -586 meV/atom. Its symmetry is F-43m.

abc: 4.7326 4.7326 4.7326
angles: 60.00 60.00 60.00
Site moments in Bohr magnetons follow the coordinates.
Atoms (fractional coordinates):
Ce 0.2500 0.2500 0.2500  0.28
Rh 0.5000 0.5000 0.5000  -0.03
Au 0.7500 0.7500 0.7500  0.00
Pd 0.0000 0.0000 0.0000  0.00

| no. | uncorrected energy (eV per atom) |
| --- | --- |
| 1 | -4.806 |
| 2 | -4.805 |
| 3 | -5.631 |
| 4 | -6.600 |
| 5 | -6.456 |
| 6 | -6.236 |
| 7 | -3.657 |
| 8 | -4.714 |
| 9 | -6.453 |
| 10 | -4.194 |
| 11 | -4.207 |
| 12 | -6.025 |